# 1
A plane-wave DFT calculation with PBE was carried out for Pm2GdBe after structural relaxation.

Results
Relative energy among the computed polymorphs   0.578 eV/atom
Formation energy   0.690 eV per atom

```
Pm2GdBe
1.0
1.740 1.005 11.627
-1.740 1.005 11.627
0.000 -2.009 11.627
Pm Gd Be
2 1 1
direct
0.084 0.084 0.084
0.916 0.916 0.916
0.500 0.500 0.500
0.000 0.000 0.000
```


# 2
A plane-wave DFT calculation with PBE was carried out for Ti3PtC after structural relaxation.

Results
Relative energy among the computed polymorphs   0.935 eV/atom
Formation energy   0.110 eV per atom

```
Ti3PtC
1.0
3.649 0.000 0.000
0.000 3.649 0.000
0.000 0.000 6.458
Ti Pt C
3 1 1
direct
0.000 0.000 0.000
0.000 0.500 0.680
0.500 0.000 0.680
0.000 0.000 0.393
0.500 0.500 0.869
```


# 3
A plane-wave DFT calculation with PBE was carried out for Cs2PmB2Se6 after structural relaxation.

Results
VASP energy   -49.3 eV per cell

```
Cs2PmB2Se6
1.0
3.601 2.079 8.313
-3.601 2.079 8.313
0.000 -4.158 8.313
Cs Pm B Se
2 1 2 6
direct
0.212 0.212 0.212
0.788 0.788 0.788
0.000 0.000 0.000
0.405 0.405 0.405
0.595 0.595 0.595
0.255 0.255 0.724
0.255 0.724 0.255
0.276 0.745 0.745
0.724 0.255 0.255
0.745 0.276 0.745
0.745 0.745 0.276
```


# 4
A plane-wave DFT calculation with PBE was carried out for BaCoPb2 after structural relaxation.

Results
Formation energy   0.317 eV per atom

```
BaCoPb2
1.0
-2.594 2.594 4.435
2.594 -2.594 4.435
2.594 2.594 -4.435
Ba Co Pb
1 1 2
direct
0.000 0.000 0.000
0.250 0.750 0.500
0.500 0.500 0.000
0.750 0.250 0.500
```


# 5
A plane-wave DFT calculation with PBE was carried out for ZrU2S4 after structural relaxation.

Results
VASP energy   -113.5 eV per cell

```
ZrU2S4
1.0
1.807 -6.492 0.000
1.807 6.492 0.000
0.000 0.000 12.868
Zr U S
2 4 8
direct
0.131 0.869 0.750
0.869 0.131 0.250
0.363 0.637 0.573
0.363 0.637 0.927
0.637 0.363 0.073
0.637 0.363 0.427
0.000 0.000 0.000
0.000 0.000 0.500
0.285 0.715 0.127
0.285 0.715 0.373
0.481 0.519 0.750
0.519 0.481 0.250
0.715 0.285 0.627
0.715 0.285 0.873
```


# 6
A plane-wave DFT calculation with PBE was carried out for ThGaNi after structural relaxation.

Results
Formation energy   -0.591 eV per atom

```
ThGaNi
1.0
12.554 0.000 0.000
0.000 3.981 0.000
0.000 0.000 7.062
Th Ga Ni
6 6 6
direct
0.041 0.000 0.244
0.250 0.000 0.618
0.459 0.000 0.244
0.541 0.000 0.756
0.750 0.000 0.382
0.959 0.000 0.756
0.138 0.500 0.919
0.250 0.500 0.271
0.362 0.500 0.919
0.638 0.500 0.081
0.750 0.500 0.729
0.862 0.500 0.081
0.097 0.500 0.549
0.250 0.000 0.039
0.403 0.500 0.549
0.597 0.500 0.451
0.750 0.000 0.961
0.903 0.500 0.451
```


# 7
A plane-wave DFT calculation with PBE was carried out for ThGa3Ir2 after structural relaxation.

Results
Formation energy   -0.672 eV per atom

```
ThGa3Ir2
1.0
8.454 -2.069 0.000
8.454 2.069 0.000
-2.438 0.000 9.436
Th Ga Ir
3 9 6
direct
0.000 0.000 0.000
0.152 0.152 0.698
0.848 0.848 0.302
0.049 0.049 0.362
0.219 0.219 0.376
0.351 0.351 0.061
0.354 0.354 0.803
0.500 0.500 0.500
0.646 0.646 0.197
0.649 0.649 0.939
0.781 0.781 0.624
0.951 0.951 0.638
0.209 0.209 0.093
0.359 0.359 0.546
0.493 0.493 0.218
0.507 0.507 0.782
0.641 0.641 0.454
0.791 0.791 0.907
```


# 8
A plane-wave DFT calculation with PBE was carried out for BaCd3Hg10 after structural relaxation.

Results
Formation energy   -0.065 eV per atom

```
BaCd3Hg10
1.0
0.000 7.522 7.522
7.522 0.000 7.522
7.522 7.522 0.000
Ba Cd Hg
2 6 20
direct
0.250 0.250 0.250
0.750 0.750 0.750
0.233 0.233 0.767
0.233 0.767 0.233
0.233 0.767 0.767
0.767 0.233 0.233
0.767 0.233 0.767
0.767 0.767 0.233
0.118 0.118 0.118
0.118 0.118 0.647
0.118 0.647 0.118
0.152 0.500 0.500
0.152 0.500 0.848
0.152 0.848 0.500
0.353 0.882 0.882
0.500 0.152 0.500
0.500 0.152 0.848
0.500 0.500 0.152
0.500 0.500 0.848
0.500 0.848 0.152
0.500 0.848 0.500
0.647 0.118 0.118
0.848 0.152 0.500
0.848 0.500 0.152
0.848 0.500 0.500
0.882 0.353 0.882
0.882 0.882 0.353
0.882 0.882 0.882
```


no.,D(E_F) (states/eV/cell)
1,4.51
2,1.27
3,5.03
4,2.90
5,22.65
6,11.90
7,11.09
8,10.93